# 1
# KMgNi3 | Alexandria | PBE | optimized geometry
# Uncorrected energy   -2.272 eV/atom
# M_tot   0.48 μB/cell
# Fermi-level density of states   3.82 states/eV per cell
# ΔE_f   1.735 eV/atom
data_KMgNi3
_chemical_formula_sum 'K1 Mg1 Ni3'
_space_group_name_H-M_alt 'P m -3 m'
_space_group_IT_number 221
_space_group_name_Hall '-P 4 2 3'
_cell_length_a 4.591
_cell_length_b 4.591
_cell_length_c 4.591
_cell_angle_alpha 90.00
_cell_angle_beta 90.00
_cell_angle_gamma 90.00
loop_
_atom_site_label
_atom_site_type_symbol
_atom_site_fract_x
_atom_site_fract_y
_atom_site_fract_z
K1 K 0.000 0.000 0.000
Mg1 Mg 0.500 0.500 0.500
Ni1 Ni 0.000 0.000 0.500

# 2
# Cs3Mg2Pb8 | Alexandria | PBE | optimized geometry
# Uncorrected energy   -2.721 eV/atom
# M_tot   0.00 μB/cell
# Fermi-level density of states   13.70 states/eV per cell
# ΔE_f   0.004 eV/atom
data_Cs3Mg2Pb8
_chemical_formula_sum 'Cs9 Mg6 Pb24'
_space_group_name_H-M_alt 'R -3 m'
_space_group_IT_number 166
_space_group_name_Hall '-R 3 2"'
_cell_length_a 6.9655
_cell_length_b 6.9655
_cell_length_c 39.7570
_cell_angle_alpha 90.00
_cell_angle_beta 90.00
_cell_angle_gamma 120.00
loop_
_atom_site_label
_atom_site_type_symbol
_atom_site_fract_x
_atom_site_fract_y
_atom_site_fract_z
Cs1 Cs 0.0000 0.0000 0.0000
Cs2 Cs 0.0000 0.0000 0.2432
Mg1 Mg 0.0000 0.0000 0.4102
Pb1 Pb 0.0000 0.0000 0.3374
Pb2 Pb 0.0094 0.5047 0.8034

# 3
# AgHgH2 | Alexandria | PBE | optimized geometry
# Uncorrected energy   -1.684 eV/atom
# M_tot   0.00 μB/cell
# Fermi-level density of states   3.04 states/eV per cell
data_AgHgH2
_chemical_formula_sum 'Ag4 Hg4 H8'
_space_group_name_H-M_alt 'F m -3 m'
_space_group_IT_number 225
_space_group_name_Hall '-F 4 2 3'
_cell_length_a 5.868
_cell_length_b 5.868
_cell_length_c 5.868
_cell_angle_alpha 90.00
_cell_angle_beta 90.00
_cell_angle_gamma 90.00
loop_
_atom_site_label
_atom_site_type_symbol
_atom_site_fract_x
_atom_site_fract_y
_atom_site_fract_z
Ag1 Ag 0.000 0.000 0.000
Hg1 Hg 0.000 0.000 0.500
H1 H 0.250 0.250 0.250

# 4
# YTmCdRu | Alexandria | PBE | optimized geometry
# Uncorrected energy   -5.710 eV/atom
# M_tot   0.00 μB/cell
# Fermi-level density of states   3.19 states/eV per cell
# ΔE_f   -0.428 eV/atom
data_YTmCdRu
_chemical_formula_sum 'Y1 Tm1 Cd1 Ru1'
_space_group_name_H-M_alt 'P 4 m m'
_space_group_IT_number 99
_cell_length_a 3.450
_cell_length_b 3.450
_cell_length_c 7.612
_cell_angle_alpha 90.00
_cell_angle_beta 90.00
_cell_angle_gamma 90.00
loop_
_space_group_symop_operation_xyz
'x,y,z'
'-y,x,z'
'-x,-y,z'
'y,-x,z'
'-x,y,z'
'y,x,z'
'x,-y,z'
'-y,-x,z'
loop_
_atom_site_label
_atom_site_type_symbol
_atom_site_fract_x
_atom_site_fract_y
_atom_site_fract_z
Y1 Y 0.000 0.000 0.000
Tm1 Tm 0.000 0.000 0.568
Cd1 Cd 0.500 0.500 0.289
Ru1 Ru 0.500 0.500 0.777

# 5
# Dy2Tl2In | Alexandria | PBE | optimized geometry
# Uncorrected energy   -3.284 eV/atom
# M_tot   0.00 μB/cell
# Fermi-level density of states   27.04 states/eV per cell
# ΔE_f   0.051 eV/atom
data_Dy2Tl2In
_chemical_formula_sum 'Dy16 Tl16 In8'
_space_group_name_H-M_alt 'F d d d'
_space_group_IT_number 70
_cell_length_a 5.233
_cell_length_b 11.625
_cell_length_c 20.594
_cell_angle_alpha 90.00
_cell_angle_beta 90.00
_cell_angle_gamma 90.00
loop_
_space_group_symop_operation_xyz
'x,y,z'
'-x,-y,-z'
'-x+1/4,-y+1/4,z'
'x+1/4,y+1/4,-z'
'x,-y+1/4,-z+1/4'
'-x,y+1/4,z+1/4'
'-x+1/4,y,-z+1/4'
'x+1/4,-y,z+1/4'
'x,y+1/2,z+1/2'
'-x,-y+1/2,-z+1/2'
'-x+1/4,-y+3/4,z+1/2'
'x+1/4,y+3/4,-z+1/2'
'x,-y+3/4,-z+3/4'
'-x,y+3/4,z+3/4'
'-x+1/4,y+1/2,-z+3/4'
'x+1/4,-y+1/2,z+3/4'
'x+1/2,y,z+1/2'
'-x+1/2,-y,-z+1/2'
'-x+3/4,-y+1/4,z+1/2'
'x+3/4,y+1/4,-z+1/2'
'x+1/2,-y+1/4,-z+3/4'
'-x+1/2,y+1/4,z+3/4'
'-x+3/4,y,-z+3/4'
'x+3/4,-y,z+3/4'
'x+1/2,y+1/2,z'
'-x+1/2,-y+1/2,-z'
'-x+3/4,-y+3/4,z'
'x+3/4,y+3/4,-z'
'x+1/2,-y+3/4,-z+1/4'
'-x+1/2,y+3/4,z+1/4'
'-x+3/4,y+1/2,-z+1/4'
'x+3/4,-y+1/2,z+1/4'
loop_
_atom_site_label
_atom_site_type_symbol
_atom_site_fract_x
_atom_site_fract_y
_atom_site_fract_z
Dy1 Dy 0.125 0.278 0.125
Tl1 Tl 0.000 0.000 0.500
In1 In 0.125 0.125 0.625

# 6
# Sm3Sn5Rh6 | Alexandria | PBE | optimized geometry
# Uncorrected energy   -6.316 eV/atom
# M_tot   0.00 μB/cell
# Fermi-level density of states   13.70 states/eV per cell
# ΔE_f   -0.724 eV/atom
data_Sm3Sn5Rh6
_chemical_formula_sum 'Sm6 Sn10 Rh12'
_space_group_name_H-M_alt 'P m m n'
_space_group_IT_number 59
_cell_length_a 4.409
_cell_length_b 13.573
_cell_length_c 9.627
_cell_angle_alpha 90.00
_cell_angle_beta 90.00
_cell_angle_gamma 90.00
loop_
_space_group_symop_operation_xyz
'x,y,z'
'-x,-y,-z'
'-x+1/2,-y+1/2,z'
'x+1/2,y+1/2,-z'
'x+1/2,-y,-z'
'-x+1/2,y,z'
'-x,y+1/2,-z'
'x,-y+1/2,z'
loop_
_atom_site_label
_atom_site_type_symbol
_atom_site_fract_x
_atom_site_fract_y
_atom_site_fract_z
Sm1 Sm 0.250 0.062 0.245
Sm2 Sm 0.250 0.750 0.224
Sn1 Sn 0.250 0.089 0.861
Sn2 Sn 0.250 0.633 0.516
Sn3 Sn 0.250 0.750 0.809
Rh1 Rh 0.250 0.056 0.590
Rh2 Rh 0.250 0.250 0.022
Rh3 Rh 0.250 0.250 0.404
Rh4 Rh 0.250 0.591 0.985